<i>
{"formula": "B2C", "functional": "PBE-GGA", "state": "optimized geometry", "lattice": [[-0.8873, -0.1198, 2.5343], [-4.7005, -0.7436, -1.6808], [3.0134, -5.5324, 0.7936]], "species": ["C", "C", "C", "C", "B", "B", "B", "B", "B", "B", "B", "B"], "frac_coords": [[0.0000, 0.3773, 0.6152], [0.5000, 0.8636, 0.5757], [0.0000, 0.3439, 0.3655], [0.0000, 0.9497, 0.9538], [0.5000, 0.8286, 0.3143], [0.5000, 0.4749, 0.0130], [0.0000, 0.0060, 0.2193], [0.0000, 0.7723, 0.6678], [0.5000, 0.1055, 0.9361], [0.5000, 0.2429, 0.6787], [0.0000, 0.6028, 0.8818], [0.5000, 0.4326, 0.2788]], "magnetic_moment_mub_per_cell": 0.000, "vol_a3_per_cell": 81, "space_group": "Pm"}

<ii>
{"formula": "B2C", "functional": "PBE-GGA", "state": "optimized geometry", "lattice": [[2.0192, 5.7736, -0.0475], [-2.0192, 5.7736, 0.0475], [-0.0998, 0.0000, 3.7361]], "species": ["B", "B", "B", "B", "B", "B", "B", "B", "C", "C", "C", "C"], "frac_coords": [[0.6070, 0.2515, 0.8057], [0.2515, 0.6070, 0.1943], [0.3848, 0.7405, 0.8040], [0.8170, 0.8170, 0.5000], [0.1754, 0.1754, 0.5000], [0.0032, 0.0032, 0.0000], [0.7405, 0.3848, 0.1960], [0.6894, 0.6894, 0.0000], [0.4890, 0.0177, 0.2490], [0.4994, 0.4994, 0.5000], [0.3251, 0.3251, 0.0000], [0.0177, 0.4890, 0.7510]], "magnetic_moment_mub_per_cell": 0.000, "vol_a3_per_cell": 87, "space_group": "C2"}

Most stable of them? <i>.

<i>
{"formula": "La2ScTa", "functional": "PBE-GGA", "state": "optimized geometry", "lattice": [[0.0000, 3.7682, 3.7682], [3.7682, 0.0000, 3.7682], [3.7682, 3.7682, 0.0000]], "species": ["Ta", "La", "La", "Sc"], "frac_coords": [[0.5000, 0.5000, 0.5000], [0.2500, 0.2500, 0.2500], [0.7500, 0.7500, 0.7500], [0.0000, 0.0000, 0.0000]], "magnetic_moment_mub_per_cell": 0.000, "vol_a3_per_cell": 107, "space_group": "Fm-3m"}

<ii>
{"formula": "La2ScTa", "functional": "PBE-GGA", "state": "optimized geometry", "lattice": [[-2.9472, 0.2549, 4.1958], [2.1594, -1.9520, 1.6354], [4.3549, 4.3096, 2.7972]], "species": ["La", "La", "Sc", "Ta"], "frac_coords": [[0.0000, 0.9583, 0.9599], [0.5000, 0.2927, 0.2891], [0.0000, 0.6766, 0.5182], [0.5000, 0.5724, 0.7328]], "magnetic_moment_mub_per_cell": 0.000, "vol_a3_per_cell": 112, "space_group": "Pm"}

Most stable of them? <ii>.

<i>
{"formula": "Rb2LiIr", "functional": "PBE-GGA", "state": "optimized geometry", "lattice": [[-3.7895, 0.9892, -2.4573], [1.6509, -2.4723, -3.5411], [-6.0344, -9.8008, 1.0107]], "species": ["Rb", "Rb", "Rb", "Rb", "Ir", "Ir", "Li", "Li"], "frac_coords": [[0.1236, 0.6250, 0.2500], [0.6264, 0.1250, 0.2500], [0.8750, 0.8764, 0.7500], [0.3750, 0.3736, 0.7500], [0.0000, 0.0000, 0.0000], [0.7500, 0.2500, 0.5000], [0.2500, 0.7500, 0.5000], [0.5000, 0.5000, 0.0000]], "magnetic_moment_mub_per_cell": 0.056, "vol_a3_per_cell": 237, "space_group": "I-42d"}

<ii>
{"formula": "Rb2LiIr", "functional": "PBE-GGA", "state": "optimized geometry", "lattice": [[0.0000, 3.9602, 3.9602], [3.9602, 0.0000, 3.9602], [3.9602, 3.9602, 0.0000]], "species": ["Li", "Ir", "Rb", "Rb"], "frac_coords": [[0.0000, 0.0000, 0.0000], [0.5000, 0.5000, 0.5000], [0.7500, 0.7500, 0.7500], [0.2500, 0.2500, 0.2500]], "magnetic_moment_mub_per_cell": 0.000, "vol_a3_per_cell": 124, "space_group": "Fm-3m"}

Most stable of them? <ii>.

<i>
{"formula": "MgBe2B", "functional": "PBE-GGA", "state": "optimized geometry", "lattice": [[-0.5398, 0.9314, 3.1993], [2.6262, -3.6989, 1.5200], [4.7611, 3.3140, -0.1614]], "species": ["B", "B", "Be", "Be", "Be", "Be", "Mg", "Mg"], "frac_coords": [[0.0000, 0.5049, 0.5000], [0.5000, 0.4951, 0.0000], [0.0000, 0.5698, 0.8297], [0.5000, 0.4302, 0.6703], [0.0000, 0.5698, 0.1703], [0.5000, 0.4302, 0.3297], [0.0000, 0.0014, 0.5000], [0.5000, 0.9986, 0.0000]], "magnetic_moment_mub_per_cell": 0.000, "vol_a3_per_cell": 94, "space_group": "Pmmn"}

<ii>
{"formula": "MgBe2B", "functional": "PBE-GGA", "state": "optimized geometry", "lattice": [[-3.9145, 0.4306, -0.1090], [-0.4336, -3.4959, 1.7638], [-2.0186, 1.3232, 6.5260]], "species": ["B", "B", "Be", "Be", "Be", "Be", "Mg", "Mg"], "frac_coords": [[0.2500, 0.7500, 0.5000], [0.5000, 0.5000, 0.0000], [0.8750, 0.6250, 0.7500], [0.3750, 0.1250, 0.2500], [0.3750, 0.6250, 0.2500], [0.3750, 0.6250, 0.7500], [0.0000, 0.0000, 0.0000], [0.7500, 0.2500, 0.5000]], "magnetic_moment_mub_per_cell": 0.000, "vol_a3_per_cell": 99, "space_group": "I4_1/amd"}

Most stable of them? <i>.

<i>
{"formula": "Er2TmBi", "functional": "PBE-GGA", "state": "optimized geometry", "lattice": [[4.1635, 0.0000, 0.0000], [0.0000, 4.1635, 0.0000], [0.0000, 0.0000, 6.7004]], "species": ["Bi", "Tm", "Er", "Er"], "frac_coords": [[0.5000, 0.5000, 0.0000], [0.5000, 0.5000, 0.5000], [0.0000, 0.0000, 0.7565], [0.0000, 0.0000, 0.2435]], "magnetic_moment_mub_per_cell": 0.000, "vol_a3_per_cell": 116, "space_group": "P4/mmm"}

<ii>
{"formula": "Er2TmBi", "functional": "PBE-GGA", "state": "optimized geometry", "lattice": [[3.6151, -0.0007, 0.0004], [1.8070, 3.1312, 0.0004], [1.8087, 1.0442, 10.6552]], "species": ["Tm", "Bi", "Er", "Er"], "frac_coords": [[0.4998, 0.4998, 0.5007], [0.6667, 0.6667, 0.0002], [0.2523, 0.2523, 0.2431], [0.0813, 0.0813, 0.7560]], "magnetic_moment_mub_per_cell": 0.124, "vol_a3_per_cell": 121, "space_group": "R3m"}

Most stable of them? <i>.

<i>
{"formula": "KMo2W", "functional": "PBE-GGA", "state": "optimized geometry", "lattice": [[3.2444, 0.0000, 0.0000], [0.0000, 3.7162, 0.0000], [0.0000, 0.0000, 8.1338]], "species": ["W", "K", "Mo", "Mo"], "frac_coords": [[0.5000, 0.5000, 0.2500], [0.5000, 0.5000, 0.7500], [0.0000, 0.0000, 0.3912], [0.0000, 0.0000, 0.1088]], "magnetic_moment_mub_per_cell": 0.000, "vol_a3_per_cell": 98, "space_group": "Pmmm"}

<ii>
{"formula": "KMo2W", "functional": "PBE-GGA", "state": "optimized geometry", "lattice": [[4.9667, 0.0000, 0.0000], [0.0000, 4.9667, 0.0000], [2.4833, 2.4833, 8.7229]], "species": ["W", "W", "Mo", "Mo", "Mo", "Mo", "K", "K"], "frac_coords": [[0.7500, 0.2500, 0.5000], [0.0000, 0.0000, 0.0000], [0.3750, 0.0663, 0.7500], [0.8750, 0.1837, 0.7500], [0.9337, 0.1250, 0.2500], [0.8163, 0.6250, 0.2500], [0.5000, 0.5000, 0.0000], [0.2500, 0.7500, 0.5000]], "magnetic_moment_mub_per_cell": 0.000, "vol_a3_per_cell": 215, "space_group": "I-42d"}

Most stable of them? <i>.